Computed, not measured: a geometry-optimized Cr2RhCl structure at the PBE-GGA level of DFT.

a b c (Å): 3.079 3.099 7.030
angles (deg): 89.96 90.00 90.00
Each line ends with the local moment (μB).
Element x y z (fractional)
Cr 0.000 0.750 0.463  3.27
Cr 0.000 0.750 0.037  3.27
Cl 0.500 0.750 0.750  -0.01
Rh 0.500 0.250 0.250  0.18

Output
electronic total energy: -7.01 eV/atom
SG: Pmmm
energy relative to the lowest polymorph listed for this composition: 0 meV per atom
uncorrected formation energy: 101 meV per atom